1.
An optimized crystal structure of Zn6CoCu. Source: OQMD via LeMat-Bulk, functional PBE-GGA.

Values from the calculation:
ΔH_f (0 K), eV/atom: -0.054

Cell and atoms, written as POSCAR:
```
Zn6CoCu
1.0
-1.9975 3.4338 -1.5129
-4.1092 -0.9901 3.1782
1.9870 2.6517 3.3951
Co Cu Zn
1 1 6
Cartesian
1.3202 1.7619 2.2558
-2.3822 2.1175 1.9795
-0.6762 0.1887 1.3211
-2.7900 -0.3206 2.9560
-0.2905 2.6621 0.4538
-0.7610 1.2313 3.7994
-0.3600 3.6816 2.8595
-2.4350 3.1816 4.4644
```


2.
An optimized crystal structure of ZrBeTcSb. Source: OQMD via LeMat-Bulk, functional PBE-GGA.

Values from the calculation:
Final energy, eV/cell: -26.59

Cell and atoms, written as POSCAR:
```
ZrBeTcSb
1.0
0.0000 3.2256 3.2256
3.2256 0.0000 3.2256
3.2256 3.2256 0.0000
Be Sb Tc Zr
1 1 1 1
Cartesian
4.8384 4.8384 4.8384
1.6128 1.6128 1.6128
3.2256 3.2256 3.2256
0.0000 0.0000 0.0000
```


3.
An optimized crystal structure of PrCdNO. Source: OQMD via LeMat-Bulk, functional PBE-GGA.

Values from the calculation:
Final energy, eV/cell: -47.66

Cell and atoms, written as POSCAR:
```
PrCdNO
1.0
-0.4103 0.3570 3.7972
-6.0964 0.1646 -0.6742
-0.2353 -6.3684 0.5733
Cd N O Pr
2 2 2 2
Cartesian
-3.1622 -2.1410 -0.1404
-0.1850 -4.1435 0.3696
-5.3328 -1.9819 -0.3899
-2.3629 -4.1852 0.1382
-2.5828 -0.7933 1.7331
-5.7898 -5.0096 1.7829
-0.2670 -0.9737 2.0002
-3.4654 -4.9544 2.0289
```


4.
An optimized crystal structure of LaNd2In3Ni2Ag. Source: OQMD via LeMat-Bulk, functional PBE-GGA.

Values from the calculation:
Final energy, eV/cell: -40.62

Cell and atoms, written as POSCAR:
```
LaNd2In3Ni2Ag
1.0
-0.3688 -1.5522 3.6603
5.8328 -4.8086 -1.4514
1.4249 6.9114 3.0745
Ag In La Nd Ni
1 3 1 2 2
Cartesian
7.2523 2.1013 1.6219
4.1264 -4.2995 0.7703
1.6890 -0.2333 2.2491
0.8893 4.3074 4.0941
4.2328 1.2264 0.9466
2.4198 -1.9894 -0.5998
0.5949 2.8628 1.2740
4.1834 -1.6663 1.8927
2.7212 2.2215 3.3941
```


5.
An optimized crystal structure of K2Dy6Mg. Source: OQMD via LeMat-Bulk, functional PBE-GGA.

Values from the calculation:
Final energy, eV/cell: -21.32

Cell and atoms, written as POSCAR:
```
K2Dy6Mg
1.0
5.6467 -2.8538 0.0000
5.6467 2.8538 0.0000
-0.1346 0.0000 9.8740
Dy K Mg
6 2 1
Cartesian
6.5753 0.0015 1.2995
3.0728 0.0273 1.6217
7.4152 0.0195 4.5644
3.7436 0.0195 5.3096
8.0860 0.0273 8.2523
4.5835 0.0015 8.5746
10.7178 0.0062 3.2031
0.4410 0.0062 6.6709
5.6467 2.8478 0.0000
```


6.
An optimized crystal structure of LiYAu2. Source: OQMD via LeMat-Bulk, functional PBE-GGA.

Values from the calculation:
Final energy, eV/cell: -70.73

Cell and atoms, written as POSCAR:
```
LiYAu2
1.0
-3.5261 -5.0343 0.1884
4.9726 -3.3315 4.0478
-3.1918 2.4581 5.9442
Au Li Y
8 4 4
Cartesian
0.5451 -3.5725 3.4690
2.5459 -4.9130 5.0977
-4.0499 -4.1578 2.1830
-2.0491 -5.4982 3.8116
0.3038 -0.4095 6.3688
2.3046 -1.7499 7.9974
-4.2912 -0.9947 5.0827
-2.2904 -2.3352 6.7114
-1.4676 -3.9358 1.7882
1.8840 -2.3931 5.3898
-3.6294 -3.5146 4.7906
-0.2777 -1.9719 8.3921
0.7159 -6.6297 3.3379
-1.4473 -1.3380 3.9014
-0.2980 -4.5697 6.2790
-2.4612 0.7221 6.8425
```